No. 1
Material: InBiN2
Method: DFT, PBE
State: relaxed

Cell: 6.7841 6.7841 6.7841 Å, 32.03 32.03 32.03°
Closest atoms and distances in Å follow each position.
Fractional coordinates of all 4 atoms:
N 0.8961 0.8961 0.8961  1 In 2.00
N 0.1039 0.1039 0.1039  1 In 2.00
In 0.0000 0.0000 0.0000  2 N 2.00
Bi 0.5000 0.5000 0.5000  6 N 2.48

Values from the calculation:
* D(E_F): 1.67 states/eV/cell
* energy above the most stable polymorph in this dataset: 1.14 eV per formula unit
* formation energy (no corrections): 813 meV/atom



No. 2
Material: CsTbTe2
Method: DFT, PBE
State: relaxed

Cell: 4.5560 4.5560 9.3824 Å, 75.95 75.95 60.00°
Closest atoms and distances in Å follow each position.
Fractional coordinates of all 4 atoms:
Te 0.0637 0.0637 0.8090  3 Tb 3.14
Te 0.2704 0.2704 0.1888  3 Tb 3.14
Tb 0.6672 0.6672 0.9984  6 Te 3.14
Cs 0.4987 0.4987 0.5038  6 Te 3.80-3.87

Values from the calculation:
* formation energy (no corrections): -1384 meV/atom



No. 3
Material: Pm3Sc
Method: DFT, PBE
State: relaxed

Cell: 7.2207 7.2207 5.6867 Å, 90.00 90.00 120.00°
Closest atoms and distances in Å follow each position.
Fractional coordinates of all 8 atoms:
Sc 0.3333 0.6667 0.7500  12 Pm 3.50-3.61
Sc 0.6667 0.3333 0.2500  12 Pm 3.50-3.61
Pm 0.1701 0.8299 0.2500  4 Sc 3.50-3.61, 8 Pm 3.54-3.69
Pm 0.1701 0.3403 0.2500  4 Sc 3.50-3.61, 8 Pm 3.54-3.69
Pm 0.8299 0.6597 0.7500  4 Sc 3.50-3.61, 8 Pm 3.54-3.69
Pm 0.6597 0.8299 0.2500  4 Sc 3.50-3.61, 8 Pm 3.54-3.69
Pm 0.3403 0.1701 0.7500  4 Sc 3.50-3.61, 8 Pm 3.54-3.69
Pm 0.8299 0.1701 0.7500  4 Sc 3.50-3.61, 8 Pm 3.54-3.69

Values from the calculation:
* D(E_F): 14.53 states/eV/cell
* energy above the most stable polymorph in this dataset: 0.02 eV per formula unit
* E_form: 43 meV/atom



No. 4
Material: YErAg6
Method: DFT, PBE
State: relaxed

Cell: 4.4566 5.1926 8.1817 Å, 80.26 74.20 64.59°
Closest atoms and distances in Å follow each position.
Fractional coordinates of all 8 atoms:
Ag 0.7505 0.1269 0.3721  1 Er 3.02, 8 Ag 3.03-3.19, 3 Y 3.04-3.05
Ag 0.4984 0.7544 0.2489  8 Ag 3.02-3.07, 2 Er 3.14, 2 Y 3.16
Ag 0.2495 0.8731 0.6279  1 Er 3.02, 8 Ag 3.03-3.19, 3 Y 3.04-3.05
Ag 0.5016 0.2456 0.7511  8 Ag 3.02-3.07, 2 Er 3.14, 2 Y 3.16
Ag 0.7490 0.6245 0.8774  8 Ag 3.02-3.15, 3 Er 3.03, 1 Y 3.06
Ag 0.2510 0.3755 0.1226  8 Ag 3.02-3.15, 3 Er 3.03, 1 Y 3.06
Er 0.0000 0.0000 0.0000  12 Ag 3.02-3.14
Y 0.0000 0.5000 0.5000  12 Ag 3.04-3.16

Values from the calculation:
* D(E_F): 4.85 states/eV/cell
* E_form: -218 meV/atom